1.
# ZrAlRu2 (SCAN, single point on PBEsol structure)
data_ZrAlRu2
_chemical_formula_sum 'Zr1 Al1 Ru2'
_cell_length_a 3.135
_cell_length_b 3.135
_cell_length_c 6.130
_cell_angle_alpha 90.00
_cell_angle_beta 90.00
_cell_angle_gamma 90.00
_symmetry_space_group_name_H-M 'P 4/m m m'
_symmetry_Int_Tables_number 123
_symmetry_space_group_name_Hall '-P 4 2'
loop_
_atom_site_label
_atom_site_fract_x
_atom_site_fract_y
_atom_site_fract_z
Zr1 0.000 0.000 0.000
Al1 0.000 0.000 0.500
Ru1 0.500 0.500 0.265
# Crystal system ... tetragonal
# Formation enthalpy at 0 K ... -0.819 eV/atom

2.
# ZrAl2Ru (SCAN, single point on PBEsol structure)
data_ZrAl2Ru
_chemical_formula_sum 'Zr2 Al4 Ru2'
_cell_length_a 9.492
_cell_length_b 3.105
_cell_length_c 4.656
_cell_angle_alpha 90.00
_cell_angle_beta 108.04
_cell_angle_gamma 90.00
_symmetry_space_group_name_H-M 'C 1 2/m 1'
_symmetry_Int_Tables_number 12
loop_
_symmetry_equiv_pos_as_xyz
'x,y,z'
'-x,-y,-z'
'-x,y,-z'
'x,-y,z'
'x+1/2,y+1/2,z'
'-x+1/2,-y+1/2,-z'
'-x+1/2,y+1/2,-z'
'x+1/2,-y+1/2,z'
loop_
_atom_site_label
_atom_site_fract_x
_atom_site_fract_y
_atom_site_fract_z
Zr1 0.000 0.000 0.000
Al1 0.230 0.000 0.722
Ru1 0.000 0.500 0.500
# Crystal system ... monoclinic
# Formation enthalpy at 0 K ... -0.476 eV/atom

3.
# ZrAlRu (SCAN, single point on PBEsol structure)
data_ZrAlRu
_chemical_formula_sum 'Zr2 Al2 Ru2'
_cell_length_a 3.106
_cell_length_b 3.106
_cell_length_c 10.196
_cell_angle_alpha 90.00
_cell_angle_beta 90.00
_cell_angle_gamma 90.00
_symmetry_space_group_name_H-M 'I 4 m m'
_symmetry_Int_Tables_number 107
_symmetry_space_group_name_Hall 'I 4 -2'
loop_
_atom_site_label
_atom_site_fract_x
_atom_site_fract_y
_atom_site_fract_z
Zr1 0.000 0.000 0.000
Al1 0.000 0.000 0.704
Ru1 0.000 0.000 0.333
# Crystal system ... tetragonal
# Formation enthalpy at 0 K ... -0.682 eV/atom

| no. | ρ (g cm⁻³) |
| --- | --- |
| 1 | 8.8 |
| 2 | 6.3 |
| 3 | 7.4 |